1.
TlHSe2N | Alexandria via LeMat-Bulk | PBE | relaxed; ΔE to the lowest computed polymorph = 639 meV per atom
1.0
5.636 0.000 0.000
0.000 5.636 0.000
0.000 0.000 4.523
Tl H Se N
1 1 2 1
direct
0.000 0.000 0.000 Tl
0.500 0.500 0.500 H
0.000 0.500 0.000 Se
0.500 0.000 0.000 Se
0.000 0.000 0.500 N



2.
GeIrN | Alexandria via LeMat-Bulk | PBE | relaxed; ΔE to the lowest computed polymorph = 186 meV per atom; formation energy (no corrections) = 0.444 eV per atom
1.0
3.006 0.000 0.000
-1.461 3.857 0.000
-0.008 -1.095 4.052
Ge Ir N
1 1 1
direct
0.000 0.000 0.000 Ge
0.683 0.375 0.734 Ir
0.615 0.236 0.249 N



3.
La9Sm2Dy | Alexandria via LeMat-Bulk | PBE | relaxed; formation energy from the elements = 0.007 eV per atom
1.0
5.221 0.000 0.000
0.000 5.221 0.000
0.000 0.000 15.673
La Sm Dy
9 2 1
direct
0.000 0.000 0.000 La
0.000 0.000 0.333 La
0.000 0.000 0.667 La
0.000 0.500 0.166 La
0.000 0.500 0.500 La
0.000 0.500 0.834 La
0.500 0.000 0.166 La
0.500 0.000 0.500 La
0.500 0.000 0.834 La
0.500 0.500 0.333 Sm
0.500 0.500 0.667 Sm
0.500 0.500 0.000 Dy



4.
NaPmTh2Te4 | Alexandria via LeMat-Bulk | PBE | relaxed; formation energy (no corrections) = -1.149 eV per atom
1.0
7.528 0.000 0.000
0.000 4.312 0.000
-2.438 0.000 7.773
Na Pm Th Te
1 1 2 4
direct
0.000 0.000 0.000 Na
0.500 0.500 0.000 Pm
0.000 0.500 0.500 Th
0.500 0.000 0.500 Th
0.246 0.500 0.244 Te
0.247 0.000 0.757 Te
0.753 0.000 0.243 Te
0.754 0.500 0.756 Te



5.
TaRuW2 | Alexandria via LeMat-Bulk | PBE | relaxed; ΔE to the lowest computed polymorph = 86 meV per atom; formation energy from the elements = 0.010 eV per atom
1.0
2.788 0.000 0.000
0.000 4.519 0.000
-1.012 0.000 5.107
Ta Ru W
1 1 2
direct
0.000 0.000 0.000 Ta
0.500 0.000 0.500 Ru
0.246 0.500 0.751 W
0.754 0.500 0.249 W



6.
ScIF2 | Alexandria via LeMat-Bulk | PBE | relaxed; ΔE to the lowest computed polymorph = 1003 meV per atom; formation energy (no corrections) = -1.738 eV per atom
1.0
3.442 0.000 0.000
-1.721 2.981 0.000
0.000 0.000 30.546
Sc I F
3 3 6
direct
0.000 0.000 0.000 Sc
0.333 0.667 0.667 Sc
0.667 0.333 0.333 Sc
0.000 0.000 0.500 I
0.333 0.667 0.167 I
0.667 0.333 0.833 I
0.000 0.000 0.061 F
0.000 0.000 0.939 F
0.333 0.667 0.605 F
0.333 0.667 0.728 F
0.667 0.333 0.272 F
0.667 0.333 0.395 F



7.
PrCd2Au9 | Alexandria via LeMat-Bulk | PBE | relaxed; formation energy from the elements = -0.240 eV per atom
1.0
2.820 1.628 9.095
-2.820 1.628 9.095
0.000 -3.256 9.095
Pr Cd Au
1 2 9
direct
0.000 0.000 0.000 Pr
0.144 0.144 0.144 Cd
0.856 0.856 0.856 Cd
0.081 0.588 0.588 Au
0.333 0.333 0.333 Au
0.412 0.412 0.919 Au
0.412 0.919 0.412 Au
0.500 0.500 0.500 Au
0.588 0.081 0.588 Au
0.588 0.588 0.081 Au
0.667 0.667 0.667 Au
0.919 0.412 0.412 Au



8.
SmMnN2 | Alexandria via LeMat-Bulk | PBE | relaxed; formation energy (no corrections) = -0.872 eV per atom
1.0
5.421 0.000 0.000
-2.711 4.695 0.000
0.000 0.000 6.300
Sm Mn N
3 3 6
direct
0.000 0.648 0.167 Sm
0.352 0.352 0.500 Sm
0.648 0.000 0.833 Sm
0.000 0.591 0.667 Mn
0.409 0.409 0.000 Mn
0.591 0.000 0.333 Mn
0.123 0.432 0.872 N
0.309 0.877 0.539 N
0.432 0.123 0.128 N
0.568 0.691 0.205 N
0.691 0.568 0.795 N
0.877 0.309 0.461 N



9.
YHo4Sc2 | Alexandria via LeMat-Bulk | PBE | relaxed; ΔE to the lowest computed polymorph = 0 meV per atom; formation energy from the elements = 0.084 eV per atom
1.0
5.845 0.000 0.000
2.422 7.840 0.000
2.050 -0.497 9.033
Y Ho Sc
2 8 4
direct
0.000 0.000 0.000 Y
0.438 0.216 0.952 Y
0.182 0.154 0.313 Ho
0.358 0.638 0.778 Ho
0.541 0.782 0.081 Ho
0.627 0.262 0.586 Ho
0.639 0.380 0.230 Ho
0.751 0.920 0.357 Ho
0.787 0.860 0.718 Ho
0.913 0.417 0.839 Ho
0.097 0.583 0.141 Sc
0.230 0.048 0.648 Sc
0.301 0.732 0.435 Sc
0.898 0.534 0.486 Sc



10.
Pu2MgTl6 | Alexandria via LeMat-Bulk | PBE | relaxed; formation energy from the elements = 0.047 eV per atom
1.0
8.163 -4.656 0.000
8.163 4.656 0.000
-0.031 0.000 3.261
Pu Mg Tl
2 1 6
direct
0.167 0.167 0.000 Pu
0.833 0.833 0.000 Pu
0.500 0.500 0.000 Mg
0.169 0.500 0.502 Tl
0.170 0.830 0.500 Tl
0.500 0.169 0.502 Tl
0.500 0.831 0.498 Tl
0.830 0.170 0.500 Tl
0.831 0.500 0.498 Tl



11.
RuRhO3 | Alexandria via LeMat-Bulk | PBE | relaxed; formation energy (no corrections) = -0.017 eV per atom
1.0
3.844 0.000 0.000
0.000 3.844 0.000
0.000 0.000 3.844
Ru Rh O
1 1 3
direct
0.000 0.000 0.000 Ru
0.500 0.500 0.500 Rh
0.000 0.000 0.500 O
0.000 0.500 0.000 O
0.500 0.000 0.000 O



12.
SiSb2TeW | Alexandria via LeMat-Bulk | PBE | relaxed; ΔE to the lowest computed polymorph = 0 meV per atom; formation energy (no corrections) = 1.009 eV per atom
1.0
5.289 0.000 0.000
0.000 5.289 0.000
0.000 0.000 5.210
Si Sb Te W
1 2 1 1
direct
0.000 0.000 0.000 Si
0.000 0.500 0.500 Sb
0.500 0.000 0.500 Sb
0.500 0.500 0.000 Te
0.500 0.500 0.500 W



13.
YHoPdRu | Alexandria via LeMat-Bulk | PBE | relaxed; ΔE to the lowest computed polymorph = 0 meV per atom; formation energy from the elements = -0.679 eV per atom
1.0
3.446 0.000 0.000
0.000 3.446 0.000
0.000 0.000 6.922
Y Ho Pd Ru
1 1 1 1
direct
0.000 0.000 0.000 Y
0.000 0.000 0.480 Ho
0.500 0.500 0.736 Pd
0.500 0.500 0.244 Ru



14.
Ce4PmPt4 | Alexandria via LeMat-Bulk | PBE | relaxed; formation energy from the elements = -0.911 eV per atom
1.0
-4.648 4.648 2.888
4.648 -4.648 2.888
4.648 4.648 -2.888
Ce Pm Pt
4 1 4
direct
0.103 0.307 0.409 Ce
0.307 0.897 0.204 Ce
0.693 0.103 0.796 Ce
0.897 0.693 0.591 Ce
0.500 0.500 0.000 Pm
0.200 0.603 0.804 Pt
0.397 0.200 0.597 Pt
0.603 0.800 0.403 Pt
0.800 0.397 0.196 Pt



15.
InAsO | Alexandria via LeMat-Bulk | PBE | relaxed; formation energy (no corrections) = -0.616 eV per atom
1.0
6.077 0.000 0.000
0.000 3.338 0.000
-1.271 0.000 17.944
In As O
6 6 6
direct
0.000 0.000 0.000 In
0.006 0.000 0.357 In
0.253 0.500 0.839 In
0.509 0.000 0.675 In
0.765 0.500 0.507 In
0.828 0.500 0.179 In
0.120 0.000 0.556 As
0.366 0.000 0.450 As
0.398 0.500 0.208 As
0.419 0.000 0.114 As
0.642 0.000 0.893 As
0.877 0.000 0.786 As
0.166 0.500 0.950 O
0.364 0.500 0.731 O
0.614 0.500 0.609 O
0.818 0.500 0.387 O
0.923 0.500 0.072 O
0.966 0.000 0.239 O



16.
TmHfPb2 | Alexandria via LeMat-Bulk | PBE | relaxed; ΔE to the lowest computed polymorph = 34 meV per atom; formation energy from the elements = -0.073 eV per atom
1.0
4.823 0.000 0.000
0.000 4.823 0.000
0.000 0.000 4.365
Tm Hf Pb
1 1 2
direct
0.000 0.000 0.000 Tm
0.500 0.500 0.000 Hf
0.000 0.500 0.500 Pb
0.500 0.000 0.500 Pb



17.
Sr2TlTc | Alexandria via LeMat-Bulk | PBE | relaxed; ΔE to the lowest computed polymorph = 201 meV per atom; formation energy from the elements = 0.551 eV per atom
1.0
4.835 0.000 0.000
0.000 4.835 0.000
0.000 0.000 9.529
Sr Tl Tc
4 2 2
direct
0.000 0.000 0.000 Sr
0.000 0.500 0.250 Sr
0.500 0.000 0.750 Sr
0.500 0.500 0.500 Sr
0.000 0.000 0.500 Tl
0.500 0.500 0.000 Tl
0.000 0.500 0.750 Tc
0.500 0.000 0.250 Tc



18.
Cd2Pb4O9 | Alexandria via LeMat-Bulk | PBE | relaxed; formation energy (no corrections) = -0.930 eV per atom
1.0
5.845 0.000 0.000
-2.922 5.062 0.000
-0.001 -0.001 15.581
Cd Pb O
4 8 18
direct
0.000 0.000 0.141 Cd
0.000 0.000 0.357 Cd
0.000 0.000 0.643 Cd
0.000 0.000 0.859 Cd
0.333 0.667 0.020 Pb
0.333 0.667 0.309 Pb
0.333 0.667 0.525 Pb
0.334 0.667 0.802 Pb
0.666 0.333 0.198 Pb
0.667 0.333 0.475 Pb
0.667 0.333 0.691 Pb
0.667 0.333 0.980 Pb
0.023 0.716 0.254 O
0.030 0.653 0.921 O
0.041 0.386 0.420 O
0.283 0.307 0.254 O
0.308 0.024 0.746 O
0.344 0.959 0.420 O
0.347 0.377 0.921 O
0.377 0.030 0.079 O
0.386 0.345 0.580 O
0.614 0.655 0.420 O
0.623 0.970 0.921 O
0.653 0.623 0.079 O
0.656 0.041 0.580 O
0.692 0.976 0.254 O
0.717 0.693 0.746 O
0.959 0.614 0.580 O
0.970 0.347 0.079 O
0.977 0.284 0.746 O



19.
K3CuNi | Alexandria via LeMat-Bulk | PBE | relaxed; ΔE to the lowest computed polymorph = 0 meV per atom; formation energy from the elements = 0.689 eV per atom
1.0
5.998 0.000 0.000
0.000 5.998 0.000
0.000 0.000 5.998
K Cu Ni
3 1 1
direct
0.000 0.000 0.500 K
0.000 0.500 0.000 K
0.500 0.000 0.000 K
0.500 0.500 0.500 Cu
0.000 0.000 0.000 Ni



20.
La2InGe3Pd4 | Alexandria via LeMat-Bulk | PBE | relaxed; formation energy from the elements = -0.816 eV per atom
1.0
4.409 0.000 0.000
0.000 4.409 0.000
0.000 0.000 10.584
La In Ge Pd
2 1 3 4
direct
0.000 0.500 0.242 La
0.500 0.000 0.758 La
0.000 0.000 0.500 In
0.000 0.500 0.878 Ge
0.500 0.000 0.122 Ge
0.500 0.500 0.500 Ge
0.000 0.000 0.000 Pd
0.000 0.500 0.645 Pd
0.500 0.000 0.355 Pd
0.500 0.500 0.000 Pd



21.
Pm3PtO6 | Alexandria via LeMat-Bulk | PBE | relaxed; formation energy (no corrections) = -2.533 eV per atom
1.0
5.683 0.000 0.000
0.000 5.868 0.000
-4.907 0.000 9.014
Pm Pt O
6 2 12
direct
0.000 0.000 0.000 Pm
0.000 0.500 0.500 Pm
0.294 0.056 0.758 Pm
0.294 0.444 0.258 Pm
0.706 0.556 0.742 Pm
0.706 0.944 0.242 Pm
0.500 0.000 0.500 Pt
0.500 0.500 0.000 Pt
0.084 0.087 0.241 O
0.084 0.413 0.741 O
0.315 0.703 0.089 O
0.315 0.797 0.589 O
0.383 0.220 0.075 O
0.383 0.280 0.575 O
0.617 0.720 0.425 O
0.617 0.780 0.925 O
0.685 0.203 0.411 O
0.685 0.297 0.911 O
0.916 0.587 0.259 O
0.916 0.913 0.759 O



22.
BaCaNd | Alexandria via LeMat-Bulk | PBE | relaxed; ΔE to the lowest computed polymorph = 84 meV per atom; formation energy from the elements = 0.135 eV per atom
1.0
3.930 0.000 0.000
-1.965 3.403 0.000
0.000 0.000 9.812
Ba Ca Nd
1 1 1
direct
0.000 0.000 0.000 Ba
0.333 0.667 0.644 Ca
0.667 0.333 0.338 Nd



23.
Ce3Nd2ThSe6 | Alexandria via LeMat-Bulk | PBE | relaxed; formation energy (no corrections) = -1.783 eV per atom
1.0
9.184 -2.103 0.000
9.184 2.103 0.000
-1.958 0.000 8.201
Ce Nd Th Se
3 2 1 6
direct
0.000 0.000 0.000 Ce
0.333 0.333 0.666 Ce
0.667 0.667 0.334 Ce
0.334 0.334 0.167 Nd
0.666 0.666 0.833 Nd
0.000 0.000 0.500 Th
0.167 0.167 0.085 Se
0.167 0.167 0.583 Se
0.500 0.500 0.249 Se
0.500 0.500 0.751 Se
0.833 0.833 0.417 Se
0.833 0.833 0.915 Se



no.,N(E_F) (states/eV per cell),total magnetic moment (μB per cell)
1,2.830,5.094
2,1.040,0.000
3,18.075,0.000
4,5.008,0.000
5,3.329,0.000
6,11.856,0.280
7,8.466,0.000
8,7.141,0.004
9,24.800,0.000
10,21.034,12.036
11,6.163,1.539
12,3.956,1.367
13,1.916,0.000
14,23.583,2.922
15,5.988,0.000
16,5.047,0.001
17,10.102,2.620
18,8.549,0.000
19,0.205,0.000
20,4.284,0.000
21,1.430,1.922
22,4.753,0.000
23,20.303,2.853